# 1
This record from the Alexandria database describes a relaxed La4HoEr3Se8 crystal. The functional is PBE.

Output
The energy relative to the elements, uncorrected is -1858 meV/atom. The total magnetic moment is 0.00 Bohr magnetons per cell. As for the calculated volume: 25.8 A^3/atom.

The structure in extended XYZ format:
```
16
Lattice="8.2505 0.0000 0.0000 0.0000 8.4609 0.1411 -4.1252 -4.1224 5.8369" Properties=species:S:1:pos:R:3 pbc="T T T"
Se 0.0000 0.1879 3.0494
La -2.0626 -2.0612 2.9185
Er 4.1252 4.2305 0.0706
Se 4.1252 0.1893 3.0380
Se -2.0583 2.0936 5.8482
Se 0.0000 4.1493 2.9401
Ho 0.0000 4.2305 0.0706
La 2.0626 -2.0612 2.9185
Se 2.0583 2.0936 5.8482
La 0.0000 0.0000 0.0000
Er 2.0626 2.1693 2.9890
Er -2.0626 2.1693 2.9890
Se 2.0670 2.2450 0.1298
Se 6.1835 2.2450 0.1298
Se 4.1252 4.1506 2.9287
La 4.1252 0.0000 0.0000
```

***

# 2
This record from the Alexandria database describes a relaxed LaHoErSe3 crystal. The functional is PBE.

Output
The energy relative to the elements, uncorrected is -1663 meV/atom. The total magnetic moment is 0.00 Bohr magnetons per cell. As for the calculated volume: 27.2 A^3/atom.

The structure in extended XYZ format:
```
12
Lattice="-0.2846 -0.0579 4.0891 0.7202 -7.9726 -0.0628 9.6669 3.3674 0.7206" Properties=species:S:1:pos:R:3 pbc="T T T"
Se 8.5777 2.2498 1.6564
La 7.9983 -3.8726 3.5842
Se 8.0863 -1.4266 1.5701
Se 1.5247 -6.9129 3.0906
Se 2.0161 -3.2365 3.1768
Er 4.0359 -5.3968 3.2868
Er 6.0665 0.7338 1.4601
Se 4.2345 -0.1774 3.3746
La 2.1041 -0.7905 1.1627
Ho 1.2876 -5.0277 1.0459
Se 5.8680 -4.4856 1.3724
Ho 8.8148 0.3647 3.7011
```

***

# 3
This record from the Alexandria database describes a relaxed La4Ho3ErSe8 crystal. The functional is PBE.

Output
The energy relative to the elements, uncorrected is -1864 meV/atom. The total magnetic moment is 0.00 Bohr magnetons per cell. As for the calculated volume: 25.9 A^3/atom.

The structure in extended XYZ format:
```
16
Lattice="8.2759 0.0000 0.0000 0.0000 8.4531 0.1163 -4.1379 -4.1359 5.8565" Properties=species:S:1:pos:R:3 pbc="T T T"
Se -2.0742 2.0764 5.8580
La 0.0000 0.0000 0.0000
La 2.0690 -2.0679 2.9282
Se 2.0638 2.2408 0.1148
La 4.1379 0.0000 0.0000
Se 4.1379 4.1495 2.9295
Ho -2.0690 2.1586 2.9864
Ho 4.1379 4.2265 0.0582
Ho 2.0690 2.1586 2.9864
La -2.0690 -2.0679 2.9282
Se 2.0742 2.0764 5.8580
Er 0.0000 4.2265 0.0582
Se 0.0000 0.1677 3.0433
Se 6.2121 2.2408 0.1148
Se 0.0000 4.1497 2.9210
Se 4.1379 0.1676 3.0518
```

***

# 4
This record from the Alexandria database describes a relaxed La2HoEr3Se6 crystal. The functional is PBE.

Output
The energy relative to the elements, uncorrected is -1799 meV/atom. The total magnetic moment is 0.00 Bohr magnetons per cell. As for the calculated volume: 25.0 A^3/atom.

The structure in extended XYZ format:
```
12
Lattice="-1.7073 -0.1293 -3.7103 4.5643 -6.7692 -1.8644 -6.7422 -3.2572 5.4661" Properties=species:S:1:pos:R:3 pbc="T T T"
Se -0.5854 -5.1688 -1.8007
Se -3.0592 -1.6179 -0.7862
Se -3.2998 -4.9868 1.6922
Se 3.3361 -5.1316 -1.3563
Se -7.2212 -5.0240 1.2477
Er 1.2244 -6.7745 -0.3273
Er -5.1095 -3.3812 0.2187
Er 1.4285 -3.4492 -2.7874
Se -0.8260 -8.5377 0.6776
La -1.0091 -3.3679 0.5817
Ho -0.8537 -0.0646 -1.8552
La -2.8761 -6.7878 -0.6903
```

***

# 5
This record from the Alexandria database describes a relaxed La2HoErSe6 crystal. The functional is PBE.

Output
The energy relative to the elements, uncorrected is -1915 meV/atom. The total magnetic moment is 0.00 Bohr magnetons per cell. As for the calculated volume: 30.8 A^3/atom.

The structure in extended XYZ format:
```
10
Lattice="7.4163 -0.0011 -0.0008 3.7072 6.4233 -0.0010 3.7067 2.1404 6.4579" Properties=species:S:1:pos:R:3 pbc="T T T"
La 7.4146 4.2813 2.7808
Ho 11.1228 6.4225 3.5249
La 3.7065 2.1399 6.0156
Se 10.1993 4.4073 1.6783
Se 6.1340 1.8074 1.6783
Se 8.6861 6.0865 4.9102
Se 5.2154 4.4810 4.9114
Se 5.9134 6.6289 1.6778
Er 3.7083 2.1404 0.2911
Se 8.3429 2.2768 4.9106
```

***

# 6
This record from the Alexandria database describes a relaxed La2HoErSe4 crystal. The functional is PBE.

Output
The energy relative to the elements, uncorrected is -1863 meV/atom. The total magnetic moment is 0.00 Bohr magnetons per cell. As for the calculated volume: 25.8 A^3/atom.

The structure in extended XYZ format:
```
8
Lattice="4.0999 0.0000 0.0000 0.0000 7.1419 0.1323 0.0000 -2.4912 6.9998" Properties=species:S:1:pos:R:3 pbc="T T T"
Ho 2.0500 3.5710 0.0661
Er 0.0000 0.0000 0.0000
Se 0.0000 -0.0901 5.4389
Se 2.0500 3.4934 5.5091
La 0.0000 2.3254 3.5660
Se 2.0500 1.1574 1.6230
Se 0.0000 4.7408 1.6932
La 2.0500 -1.2456 3.4999
```